This record from the Alexandria database describes a geometry-optimized AlCdAg3 structure. The functional is PBE-GGA.

Lattice parameters (Å, degrees): 4.8779 4.8779 4.8779 90.00 90.00 90.00
With the nearest neighbours (Å) after each atom.
Sites, in units of the cell vectors:
Al: 0.0000 0.0000 0.0000  6 Ag 2.44
Cd: 0.5000 0.5000 0.5000  12 Ag 3.45
Ag: 0.0000 0.0000 0.5000  2 Al 2.44
Ag: 0.0000 0.5000 0.0000  2 Al 2.44
Ag: 0.5000 0.0000 0.0000  2 Al 2.44

Results
**D(E_F)**: 2.1 states/eV per cell
**Energy above the most stable polymorph in this dataset**: 474.1 meV per atom
**ΔE_f**: 0.4235 eV/atom
**SG**: Pm-3m

***

This record from the Alexandria database describes a geometry-optimized Nd5Sm6Th structure. The functional is PBE-GGA.

Lattice parameters (Å, degrees): 6.3234 6.3234 12.0657 95.01 95.01 119.92
With the nearest neighbours (Å) after each atom.
Sites, in units of the cell vectors:
Nd: 0.0000 0.0000 0.0000  6 Nd 3.65, 6 Sm 3.66-3.68
Nd: 0.1666 0.8334 0.5000  6 Sm 3.63, 3 Nd 3.65, 3 Th 3.65
Nd: 0.3333 0.6667 0.0000  6 Nd 3.65, 6 Sm 3.66-3.68
Nd: 0.6667 0.3333 0.0000  6 Nd 3.65, 6 Sm 3.66-3.68
Nd: 0.8334 0.1666 0.5000  6 Sm 3.63, 3 Nd 3.65, 3 Th 3.65
Sm: 0.0886 0.4174 0.2522  6 Sm 3.60-3.68, 1 Th 3.60, 5 Nd 3.63-3.68
Sm: 0.2537 0.2537 0.7478  6 Sm 3.60-3.68, 1 Th 3.61, 5 Nd 3.63-3.68
Sm: 0.4174 0.0886 0.2522  6 Sm 3.60-3.68, 1 Th 3.60, 5 Nd 3.63-3.68
Sm: 0.5826 0.9114 0.7478  6 Sm 3.60-3.68, 1 Th 3.60, 5 Nd 3.63-3.68
Sm: 0.7463 0.7463 0.2522  6 Sm 3.60-3.68, 1 Th 3.61, 5 Nd 3.63-3.68
Sm: 0.9114 0.5826 0.7478  6 Sm 3.60-3.68, 1 Th 3.60, 5 Nd 3.63-3.68
Th: 0.5000 0.5000 0.5000  6 Sm 3.60-3.61, 6 Nd 3.65

Results
**D(E_F)**: 17.0 states/eV per cell
**ΔE_f**: 0.0267 eV/atom
**SG**: C2/m

***

This record from the Alexandria database describes a geometry-optimized Li6SmHg2 structure. The functional is PBE-GGA.

Lattice parameters (Å, degrees): 4.1135 4.1135 11.3035 90.00 90.00 90.00
With the nearest neighbours (Å) after each atom.
Sites, in units of the cell vectors:
Li: 0.0000 0.0000 0.0000  12 Li 2.91-3.09
Li: 0.0000 0.5000 0.2040  2 Hg 2.73, 4 Li 2.91
Li: 0.0000 0.5000 0.7960  2 Hg 2.73, 4 Li 2.91
Li: 0.5000 0.0000 0.2040  2 Hg 2.73, 4 Li 2.91
Li: 0.5000 0.0000 0.7960  2 Hg 2.73, 4 Li 2.91
Li: 0.5000 0.5000 0.0000  12 Li 2.91-3.09
Sm: 0.0000 0.0000 0.5000  8 Hg 3.29
Hg: 0.5000 0.5000 0.3634  4 Li 2.73
Hg: 0.5000 0.5000 0.6366  4 Li 2.73

Results
**D(E_F)**: 3.9 states/eV per cell
**ΔE_f**: -0.1895 eV/atom
**SG**: P4/mmm

***

This record from the Alexandria database describes a geometry-optimized Mg2HgAs structure. The functional is PBE-GGA.

Lattice parameters (Å, degrees): 4.9912 4.9912 4.9912 60.00 60.00 60.00
With the nearest neighbours (Å) after each atom.
Sites, in units of the cell vectors:
Mg: 0.0000 0.0000 0.0000  4 Hg 3.06, 4 Mg 3.06
Mg: 0.2500 0.2500 0.2500  4 As 3.06, 4 Mg 3.06
Hg: 0.7500 0.7500 0.7500  4 As 3.06, 4 Mg 3.06
As: 0.5000 0.5000 0.5000  4 Mg 3.06, 4 Hg 3.06

Results
**D(E_F)**: 2.3 states/eV per cell
**Energy above the most stable polymorph in this dataset**: 392.5 meV per atom
**ΔE_f**: 0.0239 eV/atom
**SG**: F-43m

***

This record from the Alexandria database describes a geometry-optimized Sr2ReAs structure. The functional is PBE-GGA.

Lattice parameters (Å, degrees): 4.8410 4.8410 4.3349 90.00 90.00 90.00
With the nearest neighbours (Å) after each atom.
Sites, in units of the cell vectors:
Sr: 0.0000 0.5000 0.0000  4 As 3.25, 4 Re 3.25, 4 Sr 3.42
Sr: 0.5000 0.0000 0.0000  4 As 3.25, 4 Re 3.25, 4 Sr 3.42
Re: 0.0000 0.0000 0.5000  8 Sr 3.25, 4 As 3.42
As: 0.5000 0.5000 0.5000  8 Sr 3.25, 4 Re 3.42

Results
**D(E_F)**: 3.3 states/eV per cell
**ΔE_f**: 0.4892 eV/atom
**SG**: P4/mmm

***

This record from the Alexandria database describes a geometry-optimized PdF structure. The functional is PBE-GGA.

Lattice parameters (Å, degrees): 7.1660 7.1660 2.8583 90.00 90.00 90.00
With the nearest neighbours (Å) after each atom.
Sites, in units of the cell vectors:
Pd: 0.1213 0.1213 0.0000  4 F 2.28-2.40, 1 Pd 2.46
Pd: 0.3787 0.6213 0.5000  4 F 2.28-2.40, 1 Pd 2.46
Pd: 0.6213 0.3787 0.5000  4 F 2.28-2.40, 1 Pd 2.46
Pd: 0.8787 0.8787 0.0000  4 F 2.28-2.40, 1 Pd 2.46
F: 0.2031 0.7969 0.0000  4 Pd 2.28-2.40
F: 0.2969 0.2969 0.5000  4 Pd 2.28-2.40
F: 0.7031 0.7031 0.5000  4 Pd 2.28-2.40
F: 0.7969 0.2031 0.0000  4 Pd 2.28-2.40

Results
**Formation energy (no corrections)**: -362 meV per atom
**D(E_F)**: 6.4 states/eV per cell
**Energy above the most stable polymorph in this dataset**: 363.5 meV per atom
**SG**: P4_2/mnm

***

This record from the Alexandria database describes a geometry-optimized SrInSi2 structure. The functional is PBE-GGA.

Lattice parameters (Å, degrees): 4.3913 3.8747 6.1776 90.00 101.30 90.00
With the nearest neighbours (Å) after each atom.
Sites, in units of the cell vectors:
Sr: 0.0000 0.0000 0.0000  6 Si 3.23-3.50, 2 In 3.52
In: 0.2030 0.5000 0.5751  6 Si 2.92-3.18
Si: 0.5648 0.5000 0.2262  2 Si 2.44
Si: 0.6656 0.0000 0.4696  2 Si 2.44

Results
**Formation energy (no corrections)**: -132 meV per atom
**D(E_F)**: 0.8 states/eV per cell
**SG**: Pm

***

This record from the Alexandria database describes a geometry-optimized TaMoSe3 structure. The functional is PBE-GGA.

Lattice parameters (Å, degrees): 5.0279 5.0279 5.0279 90.00 90.00 90.00
With the nearest neighbours (Å) after each atom.
Sites, in units of the cell vectors:
Ta: 0.0000 0.0000 0.0000  6 Se 2.51
Mo: 0.5000 0.5000 0.5000  12 Se 3.56
Se: 0.0000 0.0000 0.5000  2 Ta 2.51
Se: 0.0000 0.5000 0.0000  2 Ta 2.51
Se: 0.5000 0.0000 0.0000  2 Ta 2.51

Results
**Formation energy (no corrections)**: 542 meV per atom
**D(E_F)**: 4.9 states/eV per cell
**Energy above the most stable polymorph in this dataset**: 1000.1 meV per atom
**SG**: Pm-3m